ZrTiSn | the Alexandria database | PBE-GGA | relaxed; energy of formation from the pure elements = -0.42 eV per atom; E = -0.53192 Ry per atom; spin magnetization = 0.84 μB/f.u.; V = 253.5 Å³/cell; crystal system = orthorhombic
1.0
7.4494 0.0000 0.0000
0.0000 3.8354 0.0000
0.0000 0.0000 8.8723
Zr Ti Sn
4 4 4
Direct
0.0540 0.2500 0.1651
0.4460 0.7500 0.6651
0.5540 0.2500 0.3349
0.9460 0.7500 0.8349
0.1194 0.2500 0.5642
0.3806 0.7500 0.0642
0.6194 0.2500 0.9358
0.8806 0.7500 0.4358
0.2460 0.2500 0.8629
0.2540 0.7500 0.3629
0.7460 0.2500 0.6371
0.7540 0.7500 0.1371